First-principles (GGA-PBEsol) data for crystalline Li2ZrN2 at its relaxed geometry, as listed in the Alexandria database.

abc: 3.2589 3.2589 5.4167
angles: 90.00 90.00 120.00
Last column: nearest neighbours and their distance in Å.
Fractional positions:
Li 0.3333 0.6667 0.1170  4 N 2.07-2.14, 3 Li 2.27
Li 0.6667 0.3333 0.8830  4 N 2.07-2.14, 3 Li 2.27
Zr 0.0000 0.0000 0.5000  6 N 2.23
N 0.3333 0.6667 0.7226  4 Li 2.07-2.14, 3 Zr 2.23
N 0.6667 0.3333 0.2774  4 Li 2.07-2.14, 3 Zr 2.23

- SG = P-3m1
- ΔE_f (raw) (eV per atom) = -1.26
- spin magnetization (Bohr magnetons per cell) = 0.00